Dy2PuRh2 | PBE | optimized geometry Values from VASP.

Calculated values
- E_form (eV/atom) = -0.5568
- size of the total moment (μB per atom) = 1.06

```
&SYSTEM
  ibrav = 0, nat = 10, ntyp = 3
/
ATOMIC_SPECIES
Dy 162.50 Dy.upf
Pu 244.00 Pu.upf
Rh 102.91 Rh.upf
ATOMIC_POSITIONS angstrom
Dy 0.2385 1.0532 3.8775
Dy 1.3803 1.0532 0.3814
Dy 3.2279 3.1597 9.9031
Dy 4.3697 3.1597 6.4071
Pu 1.5028 1.0532 7.2815
Pu 3.1054 3.1597 3.0030
Rh 0.4952 3.1597 8.7901
Rh 1.3791 3.1597 5.4998
Rh 3.2291 1.0532 4.7848
Rh 4.1130 1.0532 1.4944
CELL_PARAMETERS angstrom
5.6608 0.0000 0.0000
0.0000 4.2130 0.0000
-1.0526 0.0000 10.2845
```